Material: YSiSe2
Method: DFT, PBE-GGA
State: relaxed

Calculated values
Magnetization (μB/f.u.): 0.000
Calculated total energy (eV/atom): -5.37
ΔE_f (raw) (meV/atom): -657

Cell lengths 4.816, 4.816, 3.643 Å; angles 89.33, 89.33, 90.05 degrees
Atoms (fractional coordinates):
Se 0.000 0.000 0.000
Se 0.500 0.500 0.000
Si 0.500 0.000 0.500
Y 0.000 0.500 0.500

---

Material: PuHfRu
Method: DFT, PBE-GGA
State: relaxed

Calculated values
Magnetization (μB/f.u.): 5.564
Calculated total energy (eV/atom): -11.39
Formation energy from the elements (meV/atom): -202

Cell lengths 3.952, 8.268, 7.955 Å; angles 90.00, 90.00, 90.00 degrees
Atoms (fractional coordinates):
Pu 0.750 0.155 0.024
Pu 0.250 0.655 0.476
Pu 0.250 0.845 0.976
Pu 0.750 0.345 0.524
Ru 0.750 0.847 0.315
Ru 0.250 0.347 0.185
Ru 0.250 0.153 0.685
Ru 0.750 0.653 0.815
Hf 0.750 0.558 0.145
Hf 0.250 0.058 0.355
Hf 0.250 0.442 0.855
Hf 0.750 0.942 0.645